The following is a DFT calculation (PBE-GGA) of a geometry-optimized Nd2InRh structure.

Cell: 3.646 3.646 7.745 Å, 90.00 90.00 90.00°
Atoms (fractional coordinates):
Nd1 0.000 0.000 0.218
Nd2 0.000 0.000 0.782
In1 0.500 0.500 0.500
Rh1 0.500 0.500 0.000

Values from the calculation:
SG = No. 123
VASP energy = -5.459 eV per atom
Crystal system = tetragonal
V = 25.73 A^3/atom
Formation energy from the elements = -0.552 eV/atom
E above lowest polymorph = 0.0035 eV/atom